# TmLuS2, relaxed, DFT PBE
data_TmLuS2
_cell_length_a 3.8271
_cell_length_b 3.8271
_cell_length_c 18.6936
_cell_angle_alpha 90.00
_cell_angle_beta 90.00
_cell_angle_gamma 120.00
_symmetry_space_group_name_H-M 'R -3 m'
_symmetry_Int_Tables_number 166
_symmetry_space_group_name_Hall '-R 3 2"'
loop_
_atom_site_label
_atom_site_fract_x
_atom_site_fract_y
_atom_site_fract_z
Tm1 0.0000 0.0000 0.0000
Lu1 0.0000 0.0000 0.5000
S1 0.0000 0.0000 0.2488
# Total magnetic moment in μB per atom: 0.000
# Formation energy (no corrections) in eV/atom: -1.90
# Uncorrected energy in eV for the cell shown: -74.6